Here is an optimized crystal structure of MnOF from Alexandria via LeMat-Bulk. Energies are from PBE with a Hubbard U.

abc: 5.1829 5.7018 4.5319
angles: 90.00 90.00 90.00
Closest atoms and distances in Å follow each position.
Space group Pna2_1 (No. 33)
Symmetry-distinct sites (fractional):
Mn 0.2237 0.0990 0.0000 [4 per cell]  3 O 1.93-2.02, 3 F 2.00-2.15
O 0.0973 0.8654 0.2879 [4 per cell]  3 Mn 1.93-2.02
F 0.0368 0.3677 0.2559 [4 per cell]  3 Mn 2.00-2.15

Output
Spin magnetization   4.000 μB per formula unit
E   -6.71 eV per atom